Here is crystalline VCrRe2Mo at its relaxed geometry from the Alexandria database. Energies are from PBE.

Calculated values
Energy relative to the elements   2.001 eV/atom
Final energy   -8.893 eV/atom

Cell and atoms, written as extended XYZ:
```
5
Lattice="-1.849 -3.842 1.948 2.840 0.306 3.299 -3.041 2.666 2.371" Properties=species:S:1:pos:R:3 pbc="T T T"
Re -1.520 1.333 1.185
Re -0.925 -1.921 0.974
Mo 0.000 0.000 0.000
V -1.025 -0.435 3.809
Cr 1.420 0.153 1.649
```

Here is crystalline ScSiMo at its relaxed geometry from the Alexandria database. Energies are from PBE.

Calculated values
Energy relative to the elements, uncorrected   -0.14 eV per atom
Final energy   -7.666 eV/atom

Cell and atoms, written as extended XYZ:
```
3
Lattice="6.646 -0.005 0.004 5.825 2.792 -0.011 0.821 -0.619 2.727" Properties=species:S:1:pos:R:3 pbc="T T T"
Mo 0.977 -0.574 2.691
Sc 4.673 0.507 1.823
Si 8.463 1.615 0.934
```

Here is crystalline CrInRe4 at its relaxed geometry from the Alexandria database. Energies are from PBE.

Calculated values
Energy relative to the elements   0.521 eV/atom
Final energy   -9.838 eV/atom

Cell and atoms, written as extended XYZ:
```
6
Lattice="0.000 3.693 3.693 3.693 0.000 3.693 3.693 3.693 0.000" Properties=species:S:1:pos:R:3 pbc="T T T"
Cr 1.846 1.846 1.846
In 0.000 0.000 0.000
Re 2.771 2.771 4.615
Re 2.771 4.615 2.771
Re 4.615 4.615 4.615
Re 4.615 2.771 2.771
```